## MnHg2B2O6 (PBE with a Hubbard U)

Data for a relaxed structure of MnHg2B2O6.

SG: R-3m
Volume in Å³/cell: 131
Electronic total energy in eV/atom: -6.019

Cell: 5.1677 5.1677 6.3982 Å, 66.18 66.18 60.00°
With the nearest neighbours (Å) after each atom.
Positions (direct):
Mn 0.0000 0.0000 0.0000  6 O 2.11
Hg 0.7836 0.7836 0.6492  9 O 2.66-2.80
Hg 0.2164 0.2164 0.3508  9 O 2.66-2.80
B 0.4119 0.4119 0.7644  3 O 1.38
B 0.5881 0.5881 0.2356  3 O 1.38
O 0.7405 0.7405 0.2423  1 B 1.38
O 0.2768 0.7405 0.2423  1 B 1.38
O 0.7405 0.2768 0.2423  1 B 1.38
O 0.2595 0.7232 0.7577  1 B 1.38
O 0.7232 0.2595 0.7577  1 B 1.38
O 0.2595 0.2595 0.7577  1 B 1.38